Sr3Tm3ScS8 | PBE-GGA | optimized geometry

Unit cell a=7.8563 b=7.8563 c=20.4791 alpha=90.00 beta=90.00 gamma=120.00
With the nearest neighbours (Å) after each atom.
Space group R-3m (No. 166, hexagonal axes)
Asymmetric unit:
Sr  0.0000  0.5000  0.0000 x9  6 S 2.94-2.97
Tm  0.0000  0.5000  0.5000 x9  6 S 2.73-2.74
Sc  0.0000  0.0000  0.5000 x3  6 S 2.66
S  0.0000  0.0000  0.2416 x6  3 Tm 2.74, 3 Sr 2.94
S  0.0073  0.5037  0.2386 x18  1 Sc 2.66, 2 Tm 2.73, 2 Sr 2.97

=====

Sr2TmScS4 | PBE-GGA | optimized geometry

Unit cell a=6.8468 b=3.9645 c=7.0650 alpha=90.00 beta=108.94 gamma=90.00
With the nearest neighbours (Å) after each atom.
Space group P2/m (No. 10)
Asymmetric unit:
Sr  0.0000  0.0000  0.0000 x1  6 S 2.97
Sr  0.5000  0.5000  0.0000 x1  6 S 2.94
Tm  0.0000  0.5000  0.5000 x1  6 S 2.74
Sc  0.5000  0.0000  0.5000 x1  6 S 2.70
S  0.2448  0.0000  0.7215 x2  1 Sc 2.70, 2 Tm 2.74, 3 Sr 2.94-2.97
S  0.2644  0.5000  0.2812 x2  2 Sc 2.70, 1 Tm 2.74, 3 Sr 2.94-2.97

=====

SrSc2US8 | PBE-GGA | optimized geometry

Unit cell a=5.8378 b=6.3226 c=8.4235 alpha=89.97 beta=89.96 gamma=88.98
With the nearest neighbours (Å) after each atom.
Space group P-1 (No. 2)
Asymmetric unit:
Sr  0.0000  0.0000  0.0000 x1  4 S 2.95
Sc  0.4999  0.5001  0.2896 x2  6 S 2.50-2.66
U  0.0000  0.0000  0.5000 x1  6 S 2.52-2.64
S  0.2465  0.8423  0.2826 x2  1 U 2.52, 1 Sc 2.60
S  0.2460  0.8418  0.7173 x2  1 U 2.52, 1 Sc 2.60
S  0.2575  0.3392  0.5002 x2  2 Sc 2.50, 1 U 2.64
S  0.3289  0.4468  0.0002 x2  1 S 2.12

=====

For the records above, the corresponding final energy values read -265.78 -46.44 -74.83 eV/cell.